Record 1
Computed, not measured: a relaxed RbMgAu2F8 crystal at the PBE-GGA level of DFT.

Symmetry: No. 147
Final energy, eV per atom: -3.685
Volume, Å³/atom: 16.47
Density of states at the Fermi level, states/eV/f.u.: 4.8
Energy relative to the elements, uncorrected, eV/f.u.: -20.1

a = 5.570 Å, b = 5.570 Å, c = 7.355 Å
α = 90.00°, β = 90.00°, γ = 120.00°
Site moments in Bohr magnetons follow the coordinates.
Atoms (fractional coordinates):
1 Rb 0.000 0.000 0.000  0.00
2 Mg 0.000 0.000 0.500  0.00
3 Au 0.667 0.333 0.370  0.24
4 Au 0.333 0.667 0.630  0.24
5 F 0.333 0.667 0.899  0.10
6 F 0.259 0.332 0.354  0.02
7 F 0.668 0.927 0.354  0.02
8 F 0.667 0.333 0.101  0.10
9 F 0.332 0.073 0.646  0.02
10 F 0.741 0.668 0.646  0.02
11 F 0.927 0.259 0.646  0.02
12 F 0.073 0.741 0.354  0.02


Record 2
Computed, not measured: a relaxed Pm2Al4ZnNi3 crystal at the PBE-GGA level of DFT.

Symmetry: No. 115
Final energy, eV per atom: -4.822
Volume, Å³/atom: 17.67
Density of states at the Fermi level, states/eV/f.u.: 8.8
Formation enthalpy at 0 K, kJ/mol of formula units: -495

a = 4.148 Å, b = 4.148 Å, c = 10.269 Å
α = 90.00°, β = 90.00°, γ = 90.00°
Atoms (fractional coordinates):
1 Pm 0.500 0.000 0.246
2 Pm 0.000 0.500 0.754
3 Al 0.500 0.500 0.000
4 Al 0.000 0.000 0.000
5 Al 0.500 0.000 0.636
6 Al 0.000 0.500 0.364
7 Zn 0.500 0.500 0.500
8 Ni 0.000 0.000 0.500
9 Ni 0.500 0.000 0.871
10 Ni 0.000 0.500 0.129


Record 3
Computed, not measured: a relaxed Cu2SiRu2 crystal at the PBE-GGA level of DFT.

Symmetry: No. 127
Final energy, eV per atom: -6.333
Volume, Å³/atom: 14.36
Density of states at the Fermi level, states/eV/f.u.: 4.2
Energy relative to the elements, uncorrected, eV/f.u.: 0.5

a = 6.035 Å, b = 6.035 Å, c = 3.942 Å
α = 90.00°, β = 90.00°, γ = 90.00°
Atoms (fractional coordinates):
1 Ru 0.357 0.857 0.000
2 Ru 0.857 0.643 0.000
3 Ru 0.643 0.143 0.000
4 Ru 0.143 0.357 0.000
5 Si 0.000 0.000 0.000
6 Si 0.500 0.500 0.000
7 Cu 0.162 0.662 0.500
8 Cu 0.662 0.838 0.500
9 Cu 0.838 0.338 0.500
10 Cu 0.338 0.162 0.500


Record 4
Computed, not measured: a relaxed Fe2HRhW crystal at the PBE-GGA level of DFT.

Symmetry: No. 123
Final energy, eV per atom: -8.127
Volume, Å³/atom: 10.50
Density of states at the Fermi level, states/eV/f.u.: 2.9
Relative energy among the computed polymorphs, eV per atom: 0.000

a = 3.767 Å, b = 3.767 Å, c = 3.699 Å
α = 90.00°, β = 90.00°, γ = 90.00°
Atoms (fractional coordinates):
1 H 0.000 0.000 0.000
2 Rh 0.000 0.000 0.500
3 Fe 0.000 0.500 0.000
4 Fe 0.500 0.000 0.000
5 W 0.500 0.500 0.500


Record 5
Computed, not measured: a relaxed Li2ZnRh2 crystal at the PBE-GGA level of DFT.

Symmetry: No. 139
Final energy, eV per atom: -4.121
Volume, Å³/atom: 13.63
Density of states at the Fermi level, states/eV/f.u.: 6.4
Relative energy among the computed polymorphs, eV per atom: 0.052
Formation enthalpy at 0 K, kJ/mol of formula units: -77

a = 3.072 Å, b = 3.072 Å, c = 7.541 Å
α = 101.75°, β = 101.75°, γ = 90.00°
Site moments in Bohr magnetons follow the coordinates.
Atoms (fractional coordinates):
1 Li 0.804 0.804 0.607  0.00
2 Li 0.196 0.196 0.393  0.00
3 Zn 0.000 0.000 0.000  0.00
4 Rh 0.600 0.600 0.200  0.19
5 Rh 0.400 0.400 0.800  0.19


Record 6
Computed, not measured: a relaxed Hf2ZnTe crystal at the PBE-GGA level of DFT.

Symmetry: No. 225
Final energy, eV per atom: -6.176
Volume, Å³/atom: 20.48
Density of states at the Fermi level, states/eV/f.u.: 3.8
Relative energy among the computed polymorphs, eV per atom: 0.000
Energy relative to the elements, uncorrected, eV/f.u.: -0.4

a = 4.875 Å, b = 4.875 Å, c = 4.875 Å
α = 60.00°, β = 60.00°, γ = 60.00°
Atoms (fractional coordinates):
1 Zn 0.000 0.000 0.000
2 Te 0.500 0.500 0.500
3 Hf 0.250 0.250 0.250
4 Hf 0.750 0.750 0.750